# 1
Material: CaLa4Pr8
Method: DFT, PBE
State: optimized geometry

Properties
DFT formation energy	0.020	eV per atom

a = 5.298 Å, b = 9.877 Å, c = 9.877 Å
α = 85.87°, β = 74.44°, γ = 74.44°
Positions (direct):
Ca 0.000 0.000 0.000
La 0.232 0.924 0.611
La 0.768 0.076 0.389
La 0.843 0.389 0.924
La 0.157 0.611 0.076
Pr 0.302 0.237 0.160
Pr 0.698 0.763 0.840
Pr 0.462 0.840 0.237
Pr 0.538 0.160 0.763
Pr 0.077 0.308 0.538
Pr 0.923 0.692 0.462
Pr 0.615 0.462 0.308
Pr 0.385 0.538 0.692


# 2
Material: Ca2LaPr4
Method: DFT, PBE
State: optimized geometry

Properties
energy relative to the lowest polymorph listed for this composition	46.6	kJ/mol of atoms
DFT formation energy	0.547	eV per atom

a = 5.780 Å, b = 5.780 Å, c = 9.895 Å
α = 106.98°, β = 106.98°, γ = 90.00°
Positions (direct):
Ca 0.626 0.626 0.252
Ca 0.374 0.374 0.748
La 0.000 0.000 0.000
Pr 0.827 0.827 0.655
Pr 0.173 0.173 0.345
Pr 0.000 0.500 0.000
Pr 0.500 0.000 0.000


# 3
Material: CaLa14Pr
Method: DFT, PBE
State: optimized geometry

Properties
DFT formation energy	0.012	eV per atom

a = 7.469 Å, b = 7.469 Å, c = 10.574 Å
α = 90.00°, β = 90.00°, γ = 90.00°
Positions (direct):
Ca 0.875 0.875 0.500
La 0.875 0.875 0.000
La 0.375 0.375 0.000
La 0.875 0.375 0.500
La 0.875 0.375 0.000
La 0.375 0.875 0.500
La 0.375 0.875 0.000
La 0.621 0.129 0.246
La 0.621 0.129 0.754
La 0.129 0.621 0.246
La 0.129 0.621 0.754
La 0.621 0.621 0.246
La 0.621 0.621 0.754
La 0.129 0.129 0.246
La 0.129 0.129 0.754
Pr 0.375 0.375 0.500


# 4
Material: CaLa2Pr2
Method: DFT, PBE
State: optimized geometry

Properties
energy relative to the lowest polymorph listed for this composition	0.0	kJ/mol of atoms
DFT formation energy	0.022	eV per atom

a = 3.746 Å, b = 3.746 Å, c = 15.655 Å
α = 83.13°, β = 83.13°, γ = 60.00°
Positions (direct):
Ca 0.000 0.000 0.000
La 0.403 0.403 0.790
La 0.597 0.597 0.210
Pr 0.800 0.800 0.599
Pr 0.200 0.200 0.401


# 5
Material: CaLa4Pr15
Method: DFT, PBE
State: optimized geometry

Properties
DFT formation energy	0.020	eV per atom

a = 5.285 Å, b = 5.285 Å, c = 26.249 Å
α = 90.00°, β = 90.00°, γ = 90.00°
Positions (direct):
Ca 0.000 0.000 0.000
La 0.000 0.000 0.200
La 0.000 0.000 0.400
La 0.000 0.000 0.600
La 0.000 0.000 0.800
Pr 0.500 0.500 0.000
Pr 0.500 0.500 0.199
Pr 0.500 0.500 0.400
Pr 0.500 0.500 0.600
Pr 0.500 0.500 0.801
Pr 0.500 0.000 0.102
Pr 0.500 0.000 0.300
Pr 0.500 0.000 0.500
Pr 0.500 0.000 0.700
Pr 0.500 0.000 0.898
Pr 0.000 0.500 0.102
Pr 0.000 0.500 0.300
Pr 0.000 0.500 0.500
Pr 0.000 0.500 0.700
Pr 0.000 0.500 0.898


# 6
Material: CaLa12Pr5
Method: DFT, PBE
State: optimized geometry

Properties
DFT formation energy	0.016	eV per atom

a = 6.497 Å, b = 6.497 Å, c = 18.361 Å
α = 86.63°, β = 86.63°, γ = 120.02°
Positions (direct):
Ca 0.000 0.000 0.000
La 0.110 0.110 0.669
La 0.890 0.890 0.331
La 0.287 0.287 0.168
La 0.713 0.713 0.832
La 0.601 0.944 0.168
La 0.056 0.399 0.832
La 0.944 0.601 0.168
La 0.399 0.056 0.832
La 0.555 0.222 0.335
La 0.222 0.555 0.335
La 0.778 0.445 0.665
La 0.445 0.778 0.665
Pr 0.500 0.500 0.500
Pr 0.833 0.167 0.500
Pr 0.167 0.833 0.500
Pr 0.333 0.667 0.000
Pr 0.667 0.333 0.000


# 7
Material: Ca2LaPr
Method: DFT, PBE
State: optimized geometry

Properties
energy relative to the lowest polymorph listed for this composition	0.0	kJ/mol of atoms
DFT formation energy	0.020	eV per atom

a = 3.794 Å, b = 3.794 Å, c = 10.902 Å
α = 90.00°, β = 90.00°, γ = 90.03°
Positions (direct):
Ca 0.000 0.000 0.005
Ca 0.500 0.500 0.741
La 0.500 0.500 0.265
Pr 0.000 0.000 0.489


# 8
Material: Ca2La3Pr
Method: DFT, PBE
State: optimized geometry

Properties
DFT formation energy	0.028	eV per atom

a = 7.530 Å, b = 7.530 Å, c = 9.413 Å
α = 90.00°, β = 90.00°, γ = 120.00°
Positions (direct):
Ca 0.000 0.000 0.000
Ca 0.500 0.000 0.000
Ca 0.000 0.500 0.000
Ca 0.500 0.500 0.000
La 0.167 0.833 0.655
La 0.167 0.334 0.655
La 0.666 0.833 0.655
La 0.833 0.167 0.345
La 0.334 0.167 0.345
La 0.833 0.666 0.345
Pr 0.333 0.667 0.342
Pr 0.667 0.333 0.658


# 9
Material: Ca2LaPr
Method: DFT, PBE
State: optimized geometry

Properties
energy relative to the lowest polymorph listed for this composition	5.0	kJ/mol of atoms
DFT formation energy	0.072	eV per atom

a = 3.751 Å, b = 3.751 Å, c = 12.781 Å
α = 81.56°, β = 81.56°, γ = 60.00°
Positions (direct):
Ca 0.084 0.084 0.747
Ca 0.249 0.249 0.253
La 0.666 0.666 0.001
Pr 0.500 0.500 0.499


# 10
Material: Ca2La3Pr3
Method: DFT, PBE
State: optimized geometry

Properties
DFT formation energy	0.036	eV per atom

a = 5.301 Å, b = 5.315 Å, c = 11.374 Å
α = 103.51°, β = 103.48°, γ = 90.00°
Positions (direct):
Ca 0.750 0.250 0.499
Ca 0.250 0.750 0.501
La 0.617 0.617 0.234
La 0.383 0.383 0.766
La 0.500 0.000 0.000
Pr 0.118 0.118 0.236
Pr 0.000 0.500 0.000
Pr 0.882 0.882 0.764


# 11
Material: CaLa5Pr
Method: DFT, PBE
State: optimized geometry

Properties
DFT formation energy	0.282	eV per atom

a = 5.356 Å, b = 5.356 Å, c = 9.559 Å
α = 90.00°, β = 90.00°, γ = 90.00°
Positions (direct):
Ca 0.000 0.000 0.000
La 0.500 0.500 0.000
La 0.500 0.000 0.278
La 0.000 0.500 0.278
La 0.500 0.000 0.722
La 0.000 0.500 0.722
Pr 0.000 0.000 0.500


# 12
Material: Ca2LaPrS4
Method: DFT, PBE
State: optimized geometry

Properties
uncorrected formation energy	-16.65	eV/f.u.

a = 4.060 Å, b = 7.151 Å, c = 7.027 Å
α = 70.88°, β = 90.00°, γ = 90.00°
Positions (direct):
Ca 0.000 0.000 0.000
Ca 0.500 0.000 0.500
La 0.500 0.500 0.000
Pr 0.000 0.500 0.500
S 0.000 0.760 0.746
S 0.000 0.240 0.254
S 0.500 0.759 0.248
S 0.500 0.241 0.752


# 13
Material: CaLaPrSc
Method: DFT, PBE
State: optimized geometry

Properties
DFT formation energy	0.119	eV per atom

a = 5.772 Å, b = 5.772 Å, c = 5.772 Å
α = 60.00°, β = 60.00°, γ = 60.00°
Positions (direct):
Pr 0.250 0.250 0.250
Sc 0.000 0.000 0.000
Ca 0.500 0.500 0.500
La 0.750 0.750 0.750


# 14
Material: CaLaPr2Se4
Method: DFT, PBE
State: optimized geometry

Properties
uncorrected formation energy	-15.28	eV/f.u.

a = 8.530 Å, b = 8.530 Å, c = 8.489 Å
α = 119.84°, β = 119.84°, γ = 89.99°
Positions (direct):
Ca 0.000 0.500 0.000
Ca 0.000 0.500 0.500
La 0.500 0.500 0.500
La 0.000 0.000 0.000
Pr 0.500 0.000 0.000
Pr 0.500 0.000 0.500
Pr 0.000 0.000 0.500
Pr 0.500 0.500 0.000
Se 0.244 0.743 0.993
Se 0.757 0.256 0.507
Se 0.243 0.744 0.493
Se 0.756 0.257 0.007
Se 0.754 0.746 0.001
Se 0.754 0.746 0.499
Se 0.246 0.254 0.501
Se 0.246 0.254 0.999


# 15
Material: CaLa3Pr4Se8
Method: DFT, PBE
State: optimized geometry

Properties
uncorrected formation energy	-30.67	eV/f.u.

a = 8.556 Å, b = 8.559 Å, c = 8.556 Å
α = 119.99°, β = 120.00°, γ = 90.00°
Positions (direct):
Ca 0.000 0.500 0.000
La 0.500 0.500 0.000
La 0.500 0.500 0.500
La 0.000 0.500 0.500
Pr 0.500 0.000 0.000
Pr 0.500 0.000 0.500
Pr 0.000 0.000 0.000
Pr 0.000 0.000 0.500
Se 0.246 0.747 0.001
Se 0.246 0.747 0.492
Se 0.250 0.249 0.499
Se 0.755 0.747 0.001
Se 0.245 0.253 0.999
Se 0.750 0.751 0.501
Se 0.754 0.253 0.508
Se 0.754 0.253 0.999


# 16
Material: CaLa4Pr3Se8
Method: DFT, PBE
State: optimized geometry

Properties
uncorrected formation energy	-30.95	eV/f.u.

a = 8.581 Å, b = 8.558 Å, c = 8.581 Å
α = 120.10°, β = 120.00°, γ = 90.00°
Positions (direct):
Ca 0.000 0.500 0.000
La 0.500 0.000 0.000
La 0.500 0.000 0.500
La 0.000 0.000 0.000
La 0.000 0.000 0.500
Pr 0.500 0.500 0.000
Pr 0.500 0.500 0.500
Pr 0.000 0.500 0.500
Se 0.245 0.744 0.999
Se 0.246 0.745 0.491
Se 0.250 0.251 0.501
Se 0.754 0.744 0.999
Se 0.246 0.256 0.001
Se 0.750 0.749 0.499
Se 0.754 0.255 0.509
Se 0.755 0.256 0.001


# 17
Material: Ca2LaPrSe4
Method: DFT, PBE
State: optimized geometry

Properties
uncorrected formation energy	-15.51	eV/f.u.

a = 4.220 Å, b = 7.449 Å, c = 7.306 Å
α = 70.92°, β = 90.00°, γ = 90.00°
Positions (direct):
Ca 0.000 0.000 0.000
Ca 0.500 0.000 0.500
La 0.500 0.500 0.000
Pr 0.000 0.500 0.500
Se 0.000 0.760 0.745
Se 0.000 0.240 0.255
Se 0.500 0.760 0.248
Se 0.500 0.240 0.752


# 18
Material: Ca3LaPr2Se6
Method: DFT, PBE
State: optimized geometry

Properties
uncorrected formation energy	-23.15	eV/f.u.

a = 7.298 Å, b = 7.298 Å, c = 7.442 Å
α = 99.43°, β = 99.43°, γ = 119.95°
Positions (direct):
Ca 0.167 0.833 0.500
Ca 0.833 0.167 0.500
Ca 0.500 0.500 0.500
La 0.000 0.000 0.000
Pr 0.334 0.666 0.000
Pr 0.666 0.334 0.000
Se 0.914 0.580 0.741
Se 0.753 0.753 0.260
Se 0.086 0.420 0.259
Se 0.580 0.914 0.741
Se 0.247 0.247 0.740
Se 0.420 0.086 0.259


# 19
Material: CaLa2Pr2Sm2
Method: DFT, PBE
State: optimized geometry

Properties
DFT formation energy	0.045	eV per atom

a = 5.289 Å, b = 6.438 Å, c = 8.300 Å
α = 97.93°, β = 90.00°, γ = 114.25°
Positions (direct):
Ca 0.000 0.000 0.000
La 0.144 0.288 0.433
La 0.856 0.712 0.567
Pr 0.717 0.434 0.146
Pr 0.283 0.566 0.854
Sm 0.575 0.150 0.706
Sm 0.425 0.850 0.294


# 20
Material: CaLa5Pr2Sm
Method: DFT, PBE
State: optimized geometry

Properties
DFT formation energy	0.251	eV per atom

a = 9.363 Å, b = 9.363 Å, c = 10.161 Å
α = 117.43°, β = 117.43°, γ = 90.00°
Positions (direct):
Ca 0.250 0.750 0.500
Ca 0.750 0.250 0.500
La 0.922 0.422 0.264
La 0.658 0.158 0.736
La 0.078 0.578 0.736
La 0.158 0.078 0.736
La 0.578 0.658 0.736
La 0.842 0.922 0.264
La 0.422 0.342 0.264
La 0.342 0.842 0.264
La 0.500 0.500 0.000
La 0.000 0.000 0.000
Pr 0.114 0.386 0.000
Pr 0.614 0.114 0.000
Pr 0.386 0.886 0.000
Pr 0.886 0.614 0.000
Sm 0.250 0.250 0.500
Sm 0.750 0.750 0.500


Number 1: total moment 0.000 μB/cell. Number 2: total moment 0.044 μB/cell. Number 3: total moment 0.000 μB/cell. Number 4: total moment 0.000 μB/cell. Number 5: total moment 0.005 μB/cell. Number 6: total moment 0.000 μB/cell. Number 7: total moment 0.001 μB/cell. Number 8: total moment 0.001 μB/cell. Number 9: total moment 0.005 μB/cell. Number 10: total moment 0.000 μB/cell. Number 11: total moment 0.000 μB/cell. Number 12: total moment 0.000 μB/cell. Number 13: total moment 0.000 μB/cell. Number 14: total moment 0.000 μB/cell. Number 15: total moment 0.000 μB/cell. Number 16: total moment 0.000 μB/cell. Number 17: total moment 0.000 μB/cell. Number 18: total moment 0.000 μB/cell. Number 19: total moment 0.000 μB/cell. Number 20: total moment 0.002 μB/cell.